[1]
{"formula": "RbCaTlPb", "functional": "GGA-PBE", "state": "relaxed", "lattice": [[0.000, 4.139, 4.139], [4.139, 0.000, 4.139], [4.139, 4.139, 0.000]], "species": ["Rb", "Ca", "Tl", "Pb"], "frac_coords": [[0.000, 0.000, 0.000], [0.500, 0.500, 0.500], [0.250, 0.250, 0.250], [0.750, 0.750, 0.750]]}

[2]
{"formula": "RbCa2Tl2Pb2", "functional": "GGA-PBE", "state": "relaxed", "lattice": [[2.717, 1.569, 10.286], [-2.717, 1.569, 10.286], [0.000, -3.137, 10.286]], "species": ["Rb", "Ca", "Ca", "Tl", "Tl", "Pb", "Pb"], "frac_coords": [[0.000, 0.000, 0.000], [0.136, 0.136, 0.136], [0.864, 0.864, 0.864], [0.445, 0.445, 0.445], [0.555, 0.555, 0.555], [0.250, 0.250, 0.250], [0.750, 0.750, 0.750]]}

[3]
{"formula": "RbCaZn2Pb", "functional": "GGA-PBE", "state": "relaxed", "lattice": [[5.918, 0.000, 0.000], [0.000, 5.918, 0.000], [0.000, 0.000, 6.068]], "species": ["Rb", "Ca", "Zn", "Zn", "Pb"], "frac_coords": [[0.000, 0.000, 0.000], [0.500, 0.500, 0.500], [0.000, 0.500, 0.500], [0.500, 0.000, 0.500], [0.500, 0.500, 0.000]]}

[4]
{"formula": "Ca2RePb", "functional": "GGA-PBE", "state": "relaxed", "lattice": [[1.675, 0.967, 10.310], [-1.675, 0.967, 10.310], [0.000, -1.934, 10.310]], "species": ["Ca", "Ca", "Re", "Pb"], "frac_coords": [[0.240, 0.240, 0.240], [0.760, 0.760, 0.760], [0.500, 0.500, 0.500], [0.000, 0.000, 0.000]]}

[5]
{"formula": "Ca2RePb", "functional": "GGA-PBE", "state": "relaxed", "lattice": [[4.923, -1.519, 0.000], [4.923, 1.519, 0.000], [-0.697, 0.000, 6.656]], "species": ["Ca", "Ca", "Re", "Pb"], "frac_coords": [[0.247, 0.247, 0.231], [0.753, 0.753, 0.769], [0.500, 0.500, 0.000], [0.000, 0.000, 0.500]]}

[6]
{"formula": "Ca2RePb", "functional": "GGA-PBE", "state": "relaxed", "lattice": [[-2.322, 2.322, 4.408], [2.322, -2.322, 4.408], [2.322, 2.322, -4.408]], "species": ["Ca", "Ca", "Re", "Pb"], "frac_coords": [[0.000, 0.000, 0.000], [0.750, 0.250, 0.500], [0.500, 0.500, 0.000], [0.250, 0.750, 0.500]]}

[7]
{"formula": "Ca2RePb", "functional": "GGA-PBE", "state": "relaxed", "lattice": [[0.000, 3.601, 3.601], [3.601, 0.000, 3.601], [3.601, 3.601, 0.000]], "species": ["Ca", "Ca", "Re", "Pb"], "frac_coords": [[0.000, 0.000, 0.000], [0.250, 0.250, 0.250], [0.750, 0.750, 0.750], [0.500, 0.500, 0.500]]}

[8]
{"formula": "CaRe3Pb", "functional": "GGA-PBE", "state": "relaxed", "lattice": [[4.779, 0.000, 0.000], [0.000, 4.779, 0.000], [0.000, 0.000, 4.779]], "species": ["Ca", "Re", "Re", "Re", "Pb"], "frac_coords": [[0.000, 0.000, 0.000], [0.000, 0.000, 0.500], [0.000, 0.500, 0.000], [0.500, 0.000, 0.000], [0.500, 0.500, 0.500]]}

| no. | energy relative to the elements (eV per formula unit) | energy (eV/atom) |
| --- | --- | --- |
| 1 | -0.6 | -2.42 |
| 2 | -1.8 | -2.70 |
| 3 | 1.6 | -1.53 |
| 4 | 2.0 | -4.54 |
| 5 | 2.4 | -4.43 |
| 6 | 2.0 | -4.55 |
| 7 | 2.0 | -4.53 |
| 8 | 15.5 | -5.51 |